[1]
The following is a DFT calculation (SCAN) of a PBEsol-optimized structure of MoIrNF2. Values from VASP.

Results
The value obtained for the formation energy (no corrections) is 0.12 eV/atom. Its total energy is -121.76 eV per cell.

Quantum ESPRESSO input file:
```
&SYSTEM
  ibrav = 0, nat = 5, ntyp = 4
/
ATOMIC_SPECIES
Mo 95.94 Mo.upf
Ir 192.22 Ir.upf
N 14.01 N.upf
F 19.00 F.upf
ATOMIC_POSITIONS crystal
Mo 0.000 0.000 0.000
Ir 0.500 0.500 0.500
N 0.000 0.000 0.500
F 0.000 0.500 0.000
F 0.500 0.000 0.000
CELL_PARAMETERS angstrom
3.966 0.000 0.000
0.000 3.966 0.000
0.000 0.000 3.943
```


[2]
The following is a DFT calculation (SCAN) of a PBEsol-optimized structure of IrN2F2. Values from VASP.

Results
The value obtained for the formation energy (no corrections) is 0.56 eV/atom. Its total energy is -93.94 eV per cell.

Quantum ESPRESSO input file:
```
&SYSTEM
  ibrav = 0, nat = 5, ntyp = 3
/
ATOMIC_SPECIES
Ir 192.22 Ir.upf
N 14.01 N.upf
F 19.00 F.upf
ATOMIC_POSITIONS crystal
Ir 0.000 0.000 0.000
N 0.000 0.000 0.500
N 0.500 0.500 0.500
F 0.000 0.500 0.000
F 0.500 0.000 0.000
CELL_PARAMETERS angstrom
4.149 0.000 0.000
0.000 4.149 0.000
0.000 0.000 3.665
```


[3]
The following is a DFT calculation (SCAN) of a PBEsol-optimized structure of NaIrNF2. Values from VASP.

Results
The value obtained for the formation energy (no corrections) is -0.92 eV/atom. Its total energy is -96.27 eV per cell.

Quantum ESPRESSO input file:
```
&SYSTEM
  ibrav = 0, nat = 5, ntyp = 4
/
ATOMIC_SPECIES
Na 22.99 Na.upf
Ir 192.22 Ir.upf
N 14.01 N.upf
F 19.00 F.upf
ATOMIC_POSITIONS crystal
Na 0.000 0.000 0.000
Ir 0.500 0.500 0.500
N 0.500 0.500 0.000
F 0.000 0.500 0.500
F 0.500 0.000 0.500
CELL_PARAMETERS angstrom
4.418 0.000 0.000
0.000 4.418 0.000
0.000 0.000 3.650
```


[4]
The following is a DFT calculation (SCAN) of a PBEsol-optimized structure of NiIrN2F. Values from VASP.

Results
The value obtained for the formation energy (no corrections) is 0.73 eV/atom. Its total energy is -105.74 eV per cell.

Quantum ESPRESSO input file:
```
&SYSTEM
  ibrav = 0, nat = 5, ntyp = 4
/
ATOMIC_SPECIES
Ni 58.69 Ni.upf
Ir 192.22 Ir.upf
N 14.01 N.upf
F 19.00 F.upf
ATOMIC_POSITIONS crystal
Ni 0.000 0.000 0.000
Ir 0.500 0.500 0.500
N 0.000 0.500 0.500
N 0.500 0.000 0.500
F 0.500 0.500 0.000
CELL_PARAMETERS angstrom
3.644 0.000 0.000
0.000 3.644 0.000
0.000 0.000 5.713
```


[5]
The following is a DFT calculation (SCAN) of a PBEsol-optimized structure of IrNO2F. Values from VASP.

Results
The value obtained for the formation energy (no corrections) is 0.25 eV/atom. Its total energy is -95.14 eV per cell.

Quantum ESPRESSO input file:
```
&SYSTEM
  ibrav = 0, nat = 5, ntyp = 4
/
ATOMIC_SPECIES
Ir 192.22 Ir.upf
N 14.01 N.upf
O 16.00 O.upf
F 19.00 F.upf
ATOMIC_POSITIONS crystal
Ir 0.000 0.000 0.000
N 0.000 0.000 0.500
O 0.000 0.500 0.000
O 0.500 0.000 0.000
F 0.500 0.500 0.500
CELL_PARAMETERS angstrom
3.733 0.000 0.000
0.000 3.733 0.000
0.000 0.000 3.762
```


[6]
The following is a DFT calculation (SCAN) of a PBEsol-optimized structure of PIrN2F. Values from VASP.

Results
The value obtained for the formation energy (no corrections) is 1.04 eV/atom. Its total energy is -98.40 eV per cell.

Quantum ESPRESSO input file:
```
&SYSTEM
  ibrav = 0, nat = 5, ntyp = 4
/
ATOMIC_SPECIES
P 30.97 P.upf
Ir 192.22 Ir.upf
N 14.01 N.upf
F 19.00 F.upf
ATOMIC_POSITIONS crystal
P 0.000 0.000 0.000
Ir 0.500 0.500 0.500
N 0.000 0.500 0.500
N 0.500 0.000 0.500
F 0.500 0.500 0.000
CELL_PARAMETERS angstrom
3.850 0.000 0.000
0.000 3.850 0.000
0.000 0.000 4.060
```


[7]
The following is a DFT calculation (SCAN) of a PBEsol-optimized structure of ReIrN2F. Values from VASP.

Results
The value obtained for the formation energy (no corrections) is 1.49 eV/atom. The relative energy among the computed polymorphs is 0.556 eV/atom. Its total energy is -156.85 eV per cell.

Quantum ESPRESSO input file:
```
&SYSTEM
  ibrav = 0, nat = 5, ntyp = 4
/
ATOMIC_SPECIES
Re 186.21 Re.upf
Ir 192.22 Ir.upf
N 14.01 N.upf
F 19.00 F.upf
ATOMIC_POSITIONS crystal
Re 0.000 0.000 0.000
Ir 0.500 0.500 0.500
N 0.000 0.500 0.500
N 0.500 0.000 0.500
F 0.500 0.500 0.000
CELL_PARAMETERS angstrom
3.878 0.000 0.000
0.000 3.878 0.000
0.000 0.000 4.053
```


[8]
The following is a DFT calculation (SCAN) of a PBEsol-optimized structure of ReIrN2F. Values from VASP.

Results
The value obtained for the formation energy (no corrections) is 0.94 eV/atom. The relative energy among the computed polymorphs is 0.000 eV/atom. Its total energy is -159.63 eV per cell.

Quantum ESPRESSO input file:
```
&SYSTEM
  ibrav = 0, nat = 5, ntyp = 4
/
ATOMIC_SPECIES
Re 186.21 Re.upf
Ir 192.22 Ir.upf
N 14.01 N.upf
F 19.00 F.upf
ATOMIC_POSITIONS crystal
Re 0.000 0.000 0.000
Ir 0.500 0.500 0.500
N 0.000 0.500 0.000
N 0.500 0.000 0.000
F 0.000 0.000 0.500
CELL_PARAMETERS angstrom
3.893 0.000 0.000
0.000 3.893 0.000
0.000 0.000 3.868
```


[9]
The following is a DFT calculation (SCAN) of a PBEsol-optimized structure of IrRhNF2. Values from VASP.

Results
The value obtained for the formation energy (no corrections) is 0.25 eV/atom. Its total energy is -120.00 eV per cell.

Quantum ESPRESSO input file:
```
&SYSTEM
  ibrav = 0, nat = 5, ntyp = 4
/
ATOMIC_SPECIES
Ir 192.22 Ir.upf
Rh 102.91 Rh.upf
N 14.01 N.upf
F 19.00 F.upf
ATOMIC_POSITIONS crystal
Ir 0.000 0.000 0.000
Rh 0.500 0.500 0.500
N 0.000 0.000 0.500
F 0.000 0.500 0.000
F 0.500 0.000 0.000
CELL_PARAMETERS angstrom
4.278 0.000 0.000
0.000 4.278 0.000
0.000 0.000 3.666
```


[10]
The following is a DFT calculation (SCAN) of a PBEsol-optimized structure of SbIrNF2. Values from VASP.

Results
The value obtained for the formation energy (no corrections) is 0.52 eV/atom. The relative energy among the computed polymorphs is 0.557 eV/atom. Its total energy is -122.12 eV per cell.

Quantum ESPRESSO input file:
```
&SYSTEM
  ibrav = 0, nat = 5, ntyp = 4
/
ATOMIC_SPECIES
Sb 121.76 Sb.upf
Ir 192.22 Ir.upf
N 14.01 N.upf
F 19.00 F.upf
ATOMIC_POSITIONS crystal
Sb 0.000 0.000 0.000
Ir 0.500 0.500 0.500
N 0.000 0.000 0.500
F 0.000 0.500 0.000
F 0.500 0.000 0.000
CELL_PARAMETERS angstrom
4.147 0.000 0.000
0.000 4.147 0.000
0.000 0.000 4.292
```


[11]
The following is a DFT calculation (SCAN) of a PBEsol-optimized structure of SbIrNF2. Values from VASP.

Results
The value obtained for the formation energy (no corrections) is -0.03 eV/atom. The relative energy among the computed polymorphs is 0.000 eV/atom. Its total energy is -124.90 eV per cell.

Quantum ESPRESSO input file:
```
&SYSTEM
  ibrav = 0, nat = 5, ntyp = 4
/
ATOMIC_SPECIES
Sb 121.76 Sb.upf
Ir 192.22 Ir.upf
N 14.01 N.upf
F 19.00 F.upf
ATOMIC_POSITIONS crystal
Sb 0.000 0.000 0.000
Ir 0.500 0.500 0.500
N 0.500 0.500 0.000
F 0.000 0.500 0.500
F 0.500 0.000 0.500
CELL_PARAMETERS angstrom
4.444 0.000 0.000
0.000 4.444 0.000
0.000 0.000 3.688
```


[12]
The following is a DFT calculation (SCAN) of a PBEsol-optimized structure of ScIrN2F. Values from VASP.

Results
The value obtained for the formation energy (no corrections) is -0.18 eV/atom. Its total energy is -108.35 eV per cell.

Quantum ESPRESSO input file:
```
&SYSTEM
  ibrav = 0, nat = 5, ntyp = 4
/
ATOMIC_SPECIES
Sc 44.96 Sc.upf
Ir 192.22 Ir.upf
N 14.01 N.upf
F 19.00 F.upf
ATOMIC_POSITIONS crystal
Sc 0.000 0.000 0.000
Ir 0.500 0.500 0.500
N 0.000 0.500 0.500
N 0.500 0.000 0.500
F 0.500 0.500 0.000
CELL_PARAMETERS angstrom
3.847 0.000 0.000
0.000 3.847 0.000
0.000 0.000 4.144
```